First-principles (PBE) data for a geometry-optimized Ac2La7Tb2 structure, as listed in Alexandria via LeMat-Bulk.

a = 11.087 Å, b = 3.810 Å, c = 11.087 Å
α = 76.28°, β = 112.65°, γ = 103.72°
Element x y z (fractional)
Ac 0.201 0.735 0.799
Ac 0.799 0.265 0.201
La 0.422 0.144 0.094
La 0.094 0.856 0.422
La 0.578 0.856 0.906
La 0.906 0.144 0.578
La 0.596 0.437 0.404
La 0.000 0.000 0.000
La 0.404 0.563 0.596
Tb 0.750 0.500 0.750
Tb 0.250 0.500 0.250

- excess energy over the best structure of this formula in the dataset (kJ/mol of atoms) = 0.0
- symmetry = C2/m, No. 12
- energy relative to the elements (eV/atom) = 0.09
- magnetization (μB per atom) = 0.000

---

First-principles (PBE) data for a geometry-optimized VCo4Ni15 structure, as listed in Alexandria via LeMat-Bulk.

a = 3.536 Å, b = 3.536 Å, c = 17.551 Å
α = 90.00°, β = 90.00°, γ = 90.00°
Site moments in Bohr magnetons follow the coordinates.
Element x y z (fractional)
V 0.000 0.000 0.000  -0.04
Co 0.000 0.000 0.203  1.79
Co 0.000 0.000 0.401  1.70
Co 0.000 0.000 0.599  1.70
Co 0.000 0.000 0.797  1.79
Ni 0.500 0.500 0.000  0.08
Ni 0.500 0.500 0.201  0.61
Ni 0.500 0.500 0.400  0.73
Ni 0.500 0.500 0.600  0.73
Ni 0.500 0.500 0.799  0.61
Ni 0.500 0.000 0.100  0.26
Ni 0.500 0.000 0.301  0.72
Ni 0.500 0.000 0.500  0.72
Ni 0.500 0.000 0.699  0.72
Ni 0.500 0.000 0.900  0.26
Ni 0.000 0.500 0.100  0.26
Ni 0.000 0.500 0.301  0.72
Ni 0.000 0.500 0.500  0.72
Ni 0.000 0.500 0.699  0.72
Ni 0.000 0.500 0.900  0.26

- symmetry = P4/mmm, No. 123
- energy relative to the elements (eV/atom) = -0.03
- magnetization (μB per atom) = 0.723